First-principles (GGA-PBE) data for a geometry-optimized CaIrF6 structure, as listed in Alexandria.

Computed properties:
DOS(E_F)   8.78 states/eV/cell
Electronic total energy   -5.13 eV per atom
Formation energy (no corrections)   -2371.6 meV/atom

```
8
Lattice="4.999 0.243 -0.761 -2.418 4.382 -0.761 0.201 0.361 5.284" Properties=species:S:1:pos:R:3 pbc="T T T"
F 2.018 3.616 0.421
F 1.972 0.876 0.891
F 0.764 1.369 3.341
F 0.811 4.110 2.870
F -0.290 2.138 0.891
F 3.072 2.848 2.870
Ir 1.391 2.493 1.881
Ca 0.000 0.000 0.000
```